(1)
Pr2ZnS4 (PBE-GGA, optimized geometry); total DFT energy (no corrections) = -76.99 eV for the cell shown; space group = P2_1/m, No. 11
1.0
6.5756 0.0000 0.0123
0.0000 6.6645 0.0000
-2.4053 0.0000 7.5073
Pr Zn S
4 2 8
Direct
0.7214 0.7500 0.0561 Pr
0.2786 0.2500 0.9439 Pr
0.2583 0.2500 0.4396 Pr
0.7417 0.7500 0.5604 Pr
0.2533 0.7500 0.1907 Zn
0.7467 0.2500 0.8093 Zn
0.5057 0.4926 0.2551 S
0.0538 0.7500 0.8937 S
0.9462 0.2500 0.1063 S
0.5057 0.0074 0.2551 S
0.9456 0.2500 0.6143 S
0.4943 0.9926 0.7449 S
0.4943 0.5074 0.7449 S
0.0544 0.7500 0.3857 S

=====

(2)
Pr5ZnS4 (PBE-GGA, optimized geometry); total DFT energy (no corrections) = -58.43 eV for the cell shown; space group = I4/m, No. 87; DOS at the Fermi energy = 0.40 states/eV/atom
1.0
0.0198 -4.8641 3.2666
-0.7120 -6.0694 -3.7786
6.5305 -2.8162 1.0216
Pr Zn S
5 1 4
Direct
0.8981 0.4094 0.7964 Pr
0.3075 0.7964 0.5906 Pr
0.6945 0.2036 0.4094 Pr
0.1039 0.5906 0.2036 Pr
0.5011 0.0000 0.0000 Pr
0.0012 0.0000 0.0000 Zn
0.3997 0.4026 0.8001 S
0.8022 0.8001 0.5974 S
0.1998 0.1999 0.4026 S
0.6023 0.5974 0.1999 S

=====

(3)
PrZrS2 (PBE-GGA, optimized geometry); space group = R3m, No. 160; distance to the lowest polymorph of the same formula = 0 meV per atom; DOS at the Fermi energy = 0.71 states/eV/atom
1.0
3.8163 0.0000 0.0000
1.9081 3.3050 0.0000
1.9081 1.1017 6.7394
Pr Zr S
1 1 2
Direct
0.4947 0.4947 0.5159 Pr
0.6714 0.6714 0.9857 Zr
0.0740 0.0740 0.7780 S
0.2599 0.2599 0.2204 S

=====

(4)
PrZrS4 (PBE-GGA, optimized geometry); total DFT energy (no corrections) = -75.67 eV for the cell shown; space group = P2_1/c, No. 14; DOS at the Fermi energy = 0.55 states/eV/atom
1.0
6.6481 0.0000 -0.0972
0.0000 6.8223 0.0000
-0.1937 0.0000 6.3424
Pr Zr S
2 2 8
Direct
0.0000 0.0000 0.0000 Pr
0.5000 0.5000 0.0000 Pr
0.5000 0.0000 0.5000 Zr
0.0000 0.5000 0.5000 Zr
0.9141 0.6147 0.1268 S
0.5859 0.1147 0.8732 S
0.3197 0.3287 0.3802 S
0.1803 0.8287 0.6198 S
0.0859 0.3853 0.8732 S
0.4141 0.8853 0.1268 S
0.6803 0.6713 0.6198 S
0.8197 0.1713 0.3802 S

=====

Question: Number 1 is which compound?
Answer: Pr2ZnS4